Computed, not measured: a relaxed structure of NdScPa at the GGA-PBE level of DFT.

## Properties
The calculation puts the formation energy at 169 meV per atom. As for the uncorrected energy: -20.090 eV/cell. For the energy relative to the lowest polymorph listed for this composition, the calculation gives 0.08 eV per formula unit. Its symmetry is I4mm (107).

a = 3.324 Å, b = 3.324 Å, c = 7.892 Å
α = 102.16°, β = 102.16°, γ = 90.00°
Fractional positions:
Pa 0.956 0.956 0.912
Sc 0.605 0.605 0.211
Nd 0.289 0.289 0.578


Computed, not measured: a relaxed structure of Nd3PaSe6 at the GGA-PBE level of DFT.

## Properties
For the formation energy (no corrections), the calculation gives -1.62 eV/atom. As for the uncorrected energy: -121.905 eV/cell. For the energy relative to the lowest polymorph listed for this composition, the calculation gives 0.83 eV per formula unit. Its symmetry is Cmc2_1 (36).

a = 7.243 Å, b = 9.133 Å, c = 9.133 Å
α = 101.53°, β = 90.00°, γ = 90.00°
Fractional positions:
Se 0.680 0.304 0.372
Se 0.753 0.992 0.008
Se 0.680 0.628 0.696
Se 0.195 0.097 0.573
Se 0.633 0.231 0.769
Se 0.695 0.573 0.097
Se 0.180 0.372 0.304
Se 0.253 0.008 0.992
Se 0.695 0.903 0.427
Se 0.195 0.427 0.903
Se 0.133 0.769 0.231
Se 0.180 0.696 0.628
Nd 0.378 0.404 0.596
Nd 0.488 0.289 0.087
Nd 0.878 0.596 0.404
Nd 0.488 0.913 0.711
Nd 0.988 0.087 0.289
Nd 0.988 0.711 0.913
Pa 0.494 0.839 0.161
Pa 0.994 0.161 0.839


Computed, not measured: a relaxed structure of Nd2Pa2Se7 at the GGA-PBE level of DFT.

## Properties
For the formation energy (no corrections), the calculation gives -1.59 eV/atom. As for the uncorrected energy: -70.362 eV/cell. For the energy relative to the lowest polymorph listed for this composition, the calculation gives 0.15 eV per formula unit. Its symmetry is Imm2 (44).

a = 4.073 Å, b = 9.021 Å, c = 9.021 Å
α = 60.96°, β = 76.95°, γ = 76.95°
Fractional positions:
Pa 0.260 0.333 0.147
Pa 0.740 0.853 0.667
Se 0.146 0.132 0.577
Se 0.615 0.490 0.281
Se 0.815 0.078 0.292
Se 0.385 0.719 0.510
Se 0.500 0.012 0.988
Se 0.185 0.708 0.922
Se 0.854 0.423 0.868
Nd 0.500 0.326 0.674
Nd 0.000 0.781 0.219


Computed, not measured: a relaxed structure of Nd5Pa3Se12 at the GGA-PBE level of DFT.

## Properties
For the formation energy (no corrections), the calculation gives -1.35 eV/atom. As for the uncorrected energy: -484.450 eV/cell. Its symmetry is Ia-3d (230).

a = 14.863 Å, b = 14.863 Å, c = 14.863 Å
α = 109.47°, β = 109.47°, γ = 109.47°
Fractional positions:
Se 0.904 0.827 0.771
Se 0.173 0.096 0.729
Se 0.867 0.271 0.445
Se 0.673 0.445 0.577
Se 0.577 0.633 0.404
Se 0.077 0.173 0.445
Se 0.404 0.133 0.577
Se 0.173 0.077 0.945
Se 0.367 0.423 0.096
Se 0.904 0.077 0.633
Se 0.404 0.271 0.327
Se 0.229 0.555 0.633
Se 0.327 0.555 0.423
Se 0.133 0.729 0.555
Se 0.577 0.945 0.673
Se 0.271 0.867 0.945
Se 0.945 0.367 0.271
Se 0.445 0.673 0.077
Se 0.596 0.867 0.423
Se 0.923 0.096 0.867
Se 0.077 0.904 0.133
Se 0.096 0.923 0.367
Se 0.055 0.423 0.827
Se 0.771 0.445 0.367
Se 0.729 0.596 0.173
Se 0.423 0.055 0.327
Se 0.923 0.827 0.555
Se 0.729 0.133 0.055
Se 0.867 0.596 0.923
Se 0.827 0.923 0.055
Se 0.555 0.229 0.133
Se 0.133 0.404 0.077
Se 0.423 0.367 0.596
Se 0.445 0.771 0.867
Se 0.229 0.673 0.096
Se 0.096 0.173 0.229
Se 0.055 0.633 0.729
Se 0.555 0.327 0.923
Se 0.771 0.327 0.904
Se 0.633 0.577 0.904
Se 0.827 0.904 0.271
Se 0.367 0.945 0.771
Se 0.945 0.577 0.173
Se 0.596 0.729 0.673
Se 0.271 0.404 0.827
Se 0.633 0.055 0.229
Se 0.673 0.229 0.596
Se 0.327 0.771 0.404
Nd 0.250 0.375 0.625
Nd 0.875 0.250 0.625
Nd 0.625 0.875 0.250
Nd 0.000 0.500 0.500
Nd 0.500 0.500 0.500
Nd 0.500 0.000 0.500
Nd 0.500 0.500 0.000
Nd 0.375 0.250 0.125
Nd 0.750 0.625 0.375
Nd 0.750 0.125 0.875
Nd 0.000 0.000 0.500
Nd 0.500 0.000 0.000
Nd 0.875 0.625 0.750
Nd 0.250 0.875 0.125
Nd 0.625 0.750 0.875
Nd 0.125 0.375 0.250
Nd 0.375 0.125 0.750
Nd 0.000 0.500 0.000
Nd 0.000 0.000 0.000
Nd 0.125 0.750 0.375
Pa 0.375 0.625 0.250
Pa 0.125 0.250 0.875
Pa 0.250 0.125 0.375
Pa 0.125 0.875 0.750
Pa 0.375 0.750 0.625
Pa 0.875 0.125 0.250
Pa 0.750 0.875 0.625
Pa 0.625 0.250 0.375
Pa 0.625 0.375 0.750
Pa 0.875 0.750 0.125
Pa 0.250 0.625 0.875
Pa 0.750 0.375 0.125